# AlHgRu PBE relaxed
# Energy of formation, eV per atom: 0.22
data_AlHgRu
_space_group_name_H-M_alt 'F -4 3 m'
_space_group_IT_number 216
_space_group_name_Hall 'F -4 2 3'
_cell_length_a 5.9984
_cell_length_b 5.9984
_cell_length_c 5.9984
_cell_angle_alpha 90.00
_cell_angle_beta 90.00
_cell_angle_gamma 90.00
loop_
_atom_site_label
_atom_site_fract_x
_atom_site_fract_y
_atom_site_fract_z
Al1 0.0000 0.0000 0.0000
Hg1 0.2500 0.2500 0.2500
Ru1 0.2500 0.2500 0.7500

---

# Pm4PrSm3Se8 PBE relaxed
# Energy relative to the elements, uncorrected, eV per atom: -1.8235
data_Pm4PrSm3Se8
_space_group_name_H-M_alt 'R -3 m'
_space_group_IT_number 166
_space_group_name_Hall '-R 3 2"'
_cell_length_a 8.3960
_cell_length_b 8.3960
_cell_length_c 20.5674
_cell_angle_alpha 90.00
_cell_angle_beta 90.00
_cell_angle_gamma 120.00
loop_
_atom_site_label
_atom_site_fract_x
_atom_site_fract_y
_atom_site_fract_z
Pm1 0.0000 0.0000 0.0000
Pm2 0.0000 0.5000 0.0000
Pr1 0.0000 0.0000 0.5000
Sm1 0.0000 0.5000 0.5000
Se1 0.0000 0.0000 0.2492
Se2 0.0036 0.5018 0.7498

---

V readings, ordered: 54, 419 Å³/f.u.